Entry 1:
Material: Pa5Te4P
Method: DFT, PBE
State: relaxed

Cell and atoms, written as CIF:
```
data_Pa5Te4P
_symmetry_space_group_name_H-M 'P -1'
_symmetry_Int_Tables_number 2
_symmetry_space_group_name_Hall '-P 1'
_cell_length_a 4.120
_cell_length_b 4.362
_cell_length_c 15.453
_cell_angle_alpha 86.47
_cell_angle_beta 82.63
_cell_angle_gamma 89.99
loop_
_atom_site_label
_atom_site_type_symbol
_atom_site_fract_x
_atom_site_fract_y
_atom_site_fract_z
Pa1 Pa 0.000 0.000 0.000
Pa2 Pa 0.200 0.175 0.579
Pa3 Pa 0.417 0.373 0.173
Te1 Te 0.100 0.136 0.793
Te2 Te 0.319 0.334 0.380
P1 P 0.500 0.500 0.000
```

Properties
The value obtained for the uncorrected formation energy is -713 meV/atom. As for the density of states at the Fermi level: 2.269 states/eV per atom. Its raw total energy is -7.259 eV per atom.

=====

Entry 2:
Material: ReSiAs2Br
Method: DFT, PBE
State: relaxed

Cell and atoms, written as CIF:
```
data_ReSiAs2Br
_symmetry_space_group_name_H-M 'P 4/m m m'
_symmetry_Int_Tables_number 123
_symmetry_space_group_name_Hall '-P 4 2'
_cell_length_a 4.737
_cell_length_b 4.737
_cell_length_c 5.477
_cell_angle_alpha 90.00
_cell_angle_beta 90.00
_cell_angle_gamma 90.00
loop_
_atom_site_label
_atom_site_type_symbol
_atom_site_fract_x
_atom_site_fract_y
_atom_site_fract_z
Re1 Re 0.000 0.000 0.000
Si1 Si 0.500 0.500 0.500
As1 As 0.000 0.500 0.000
Br1 Br 0.000 0.000 0.500
```

Properties
The value obtained for the uncorrected formation energy is 877 meV/atom. As for the density of states at the Fermi level: 0.679 states/eV per atom. Its raw total energy is -4.891 eV per atom.

=====

Entry 3:
Material: SrPmHgSb
Method: DFT, PBE
State: relaxed

Cell and atoms, written as CIF:
```
data_SrPmHgSb
_symmetry_space_group_name_H-M 'F -4 3 m'
_symmetry_Int_Tables_number 216
_symmetry_space_group_name_Hall 'F -4 2 3'
_cell_length_a 7.831
_cell_length_b 7.831
_cell_length_c 7.831
_cell_angle_alpha 90.00
_cell_angle_beta 90.00
_cell_angle_gamma 90.00
loop_
_atom_site_label
_atom_site_type_symbol
_atom_site_fract_x
_atom_site_fract_y
_atom_site_fract_z
Sr1 Sr 0.000 0.000 0.000
Pm1 Pm 0.000 0.000 0.500
Hg1 Hg 0.250 0.250 0.750
Sb1 Sb 0.250 0.250 0.250
```

Properties
The value obtained for the uncorrected formation energy is -637 meV/atom. As for the density of states at the Fermi level: 1.051 states/eV per atom. Its raw total energy is -3.351 eV per atom.

=====

Entry 4:
Material: Li2AcNd2Pb2
Method: DFT, PBE
State: relaxed

Cell and atoms, written as CIF:
```
data_Li2AcNd2Pb2
_symmetry_space_group_name_H-M 'R -3 m'
_symmetry_Int_Tables_number 166
_symmetry_space_group_name_Hall '-R 3 2"'
_cell_length_a 4.9657
_cell_length_b 4.9657
_cell_length_c 28.9998
_cell_angle_alpha 90.00
_cell_angle_beta 90.00
_cell_angle_gamma 120.00
loop_
_atom_site_label
_atom_site_type_symbol
_atom_site_fract_x
_atom_site_fract_y
_atom_site_fract_z
Li1 Li 0.0000 0.0000 0.0843
Ac1 Ac 0.0000 0.0000 0.5000
Nd1 Nd 0.0000 0.0000 0.3681
Pb1 Pb 0.0000 0.0000 0.2410
```

Properties
As for the density of states at the Fermi level: 0.708 states/eV per atom. Its raw total energy is -3.915 eV per atom.

=====

Entry 5:
Material: GaCo2Bi2
Method: DFT, PBE
State: relaxed

Cell and atoms, written as CIF:
```
data_GaCo2Bi2
_symmetry_space_group_name_H-M 'I 4/m m m'
_symmetry_Int_Tables_number 139
_symmetry_space_group_name_Hall '-I 4 2'
_cell_length_a 5.339
_cell_length_b 5.339
_cell_length_c 7.039
_cell_angle_alpha 90.00
_cell_angle_beta 90.00
_cell_angle_gamma 90.00
loop_
_atom_site_label
_atom_site_type_symbol
_atom_site_fract_x
_atom_site_fract_y
_atom_site_fract_z
Ga1 Ga 0.000 0.000 0.000
Co1 Co 0.000 0.000 0.337
Bi1 Bi 0.000 0.500 0.250
```

Properties
As for the density of states at the Fermi level: 0.888 states/eV per atom. Its raw total energy is -4.628 eV per atom.

=====

Entry 6:
Material: Ba2NiPb
Method: DFT, PBE
State: relaxed

Cell and atoms, written as CIF:
```
data_Ba2NiPb
_symmetry_space_group_name_H-M 'C m m 2'
_symmetry_Int_Tables_number 35
_symmetry_space_group_name_Hall 'C 2 -2'
_cell_length_a 5.407
_cell_length_b 5.423
_cell_length_c 9.784
_cell_angle_alpha 90.00
_cell_angle_beta 90.00
_cell_angle_gamma 90.00
loop_
_atom_site_label
_atom_site_type_symbol
_atom_site_fract_x
_atom_site_fract_y
_atom_site_fract_z
Ba1 Ba 0.000 0.000 0.000
Ba2 Ba 0.000 0.500 0.407
Ni1 Ni 0.000 0.500 0.758
Pb1 Pb 0.000 0.000 0.659
```

Properties
As for the density of states at the Fermi level: 0.853 states/eV per atom. Its raw total energy is -3.289 eV per atom.

=====

Entry 7:
Material: AlCu2Ni
Method: DFT, PBE
State: relaxed

Cell and atoms, written as CIF:
```
data_AlCu2Ni
_symmetry_space_group_name_H-M 'P 63/m m c'
_symmetry_Int_Tables_number 194
_symmetry_space_group_name_Hall '-P 6c 2c'
_cell_length_a 4.0403
_cell_length_b 4.0403
_cell_length_c 7.3366
_cell_angle_alpha 90.00
_cell_angle_beta 90.00
_cell_angle_gamma 120.00
loop_
_atom_site_label
_atom_site_type_symbol
_atom_site_fract_x
_atom_site_fract_y
_atom_site_fract_z
Al1 Al 0.0000 0.0000 0.2500
Cu1 Cu 0.3333 0.6667 0.0816
Ni1 Ni 0.3333 0.6667 0.7500
```

Properties
As for the density of states at the Fermi level: 0.257 states/eV per atom. Its raw total energy is -4.578 eV per atom.

=====

Entry 8:
Material: PmPuTl2
Method: DFT, PBE
State: relaxed

Cell and atoms, written as CIF:
```
data_PmPuTl2
_symmetry_space_group_name_H-M 'P 4/m m m'
_symmetry_Int_Tables_number 123
_symmetry_space_group_name_Hall '-P 4 2'
_cell_length_a 5.017
_cell_length_b 5.017
_cell_length_c 4.503
_cell_angle_alpha 90.00
_cell_angle_beta 90.00
_cell_angle_gamma 90.00
loop_
_atom_site_label
_atom_site_type_symbol
_atom_site_fract_x
_atom_site_fract_y
_atom_site_fract_z
Pm1 Pm 0.000 0.000 0.000
Pu1 Pu 0.500 0.500 0.000
Tl1 Tl 0.000 0.500 0.500
```

Properties
As for the density of states at the Fermi level: 2.991 states/eV per atom. Its raw total energy is -6.124 eV per atom.